Ac9PrDy2, optimized geometry, DFT PBE; symmetry = P4/mmm; E_form = 0.030 eV/atom
1.0
5.503 0.000 0.000
0.000 5.503 0.000
0.000 0.000 16.535
Ac Pr Dy
9 1 2
direct
0.000 0.000 0.000
0.000 0.000 0.335
0.000 0.000 0.665
0.000 0.500 0.169
0.000 0.500 0.500
0.000 0.500 0.831
0.500 0.000 0.169
0.500 0.000 0.500
0.500 0.000 0.831
0.500 0.500 0.000
0.500 0.500 0.335
0.500 0.500 0.665

=====

TiCoP2S, optimized geometry, DFT PBE; symmetry = P4/mmm; energy relative to the elements, uncorrected = 579 meV per atom; excess energy over the best structure of this formula in the dataset = 307 meV per atom
1.0
4.681 0.000 0.000
0.000 4.681 0.000
0.000 0.000 4.597
Ti Co P S
1 1 2 1
direct
0.000 0.000 0.000
0.500 0.500 0.500
0.000 0.500 0.000
0.500 0.000 0.000
0.000 0.000 0.500

=====

RbHSe, optimized geometry, DFT PBE; symmetry = P3m1; uncorrected energy = -9.8 eV per cell
1.0
5.197 0.000 0.000
-2.598 4.501 0.000
0.000 0.000 4.080
Rb H Se
1 1 1
direct
0.000 0.000 0.000
0.667 0.333 0.150
0.667 0.333 0.515

=====

Tb2Ga4Rh5, optimized geometry, DFT PBE; symmetry = Fmmm; E_form = -0.746 eV/atom
1.0
0.000 4.734 7.412
2.858 0.000 7.412
2.858 4.734 0.000
Tb Ga Rh
2 4 5
direct
0.122 0.122 0.878
0.878 0.878 0.122
0.212 0.526 0.474
0.474 0.788 0.212
0.526 0.212 0.788
0.788 0.474 0.526
0.000 0.000 0.500
0.250 0.250 0.250
0.500 0.500 0.000
0.500 0.500 0.500
0.750 0.750 0.750

=====

GaPt, optimized geometry, DFT PBE; symmetry = P4_2/mnm; E_form = -0.362 eV/atom
1.0
7.878 0.000 0.000
0.000 7.878 0.000
0.000 0.000 2.801
Ga Pt
4 4
direct
0.186 0.186 0.000
0.314 0.686 0.500
0.686 0.314 0.500
0.814 0.814 0.000
0.129 0.871 0.000
0.371 0.371 0.500
0.629 0.629 0.500
0.871 0.129 0.000

=====

TcSCl2, optimized geometry, DFT PBE; symmetry = Fm-3m; energy relative to the elements, uncorrected = 867 meV per atom; excess energy over the best structure of this formula in the dataset = 1236 meV per atom
1.0
0.000 3.356 3.356
3.356 0.000 3.356
3.356 3.356 0.000
Tc S Cl
1 1 2
direct
0.000 0.000 0.000
0.500 0.500 0.500
0.250 0.250 0.250
0.750 0.750 0.750

=====

Number 3 is which compound?
RbHSe

=====

Please write out number 5 again, unchanged.
GaPt, optimized geometry, DFT PBE; symmetry = P4_2/mnm; E_form = -0.362 eV/atom
1.0
7.878 0.000 0.000
0.000 7.878 0.000
0.000 0.000 2.801
Ga Pt
4 4
direct
0.186 0.186 0.000
0.314 0.686 0.500
0.686 0.314 0.500
0.814 0.814 0.000
0.129 0.871 0.000
0.371 0.371 0.500
0.629 0.629 0.500
0.871 0.129 0.000